Entry 1:
# PBE-GGA Zr2TiRe, relaxed
data_Zr2TiRe
_chemical_formula_sum 'Zr2 Ti1 Re1'
_symmetry_space_group_name_H-M 'P 4/m m m'
_symmetry_Int_Tables_number 123
_symmetry_space_group_name_Hall '-P 4 2'
_cell_length_a 3.305
_cell_length_b 3.305
_cell_length_c 7.045
_cell_angle_alpha 90.00
_cell_angle_beta 90.00
_cell_angle_gamma 90.00
loop_
_atom_site_label
_atom_site_type_symbol
_atom_site_fract_x
_atom_site_fract_y
_atom_site_fract_z
Zr1 Zr 0.000 0.000 0.229
Ti1 Ti 0.500 0.500 0.500
Re1 Re 0.500 0.500 0.000
# Density in g cm⁻³: 8.99

Entry 2:
# PBE-GGA Zr3TiRe, relaxed
data_Zr3TiRe
_chemical_formula_sum 'Zr3 Ti1 Re1'
_symmetry_space_group_name_H-M 'P m -3 m'
_symmetry_Int_Tables_number 221
_symmetry_space_group_name_Hall '-P 4 2 3'
_cell_length_a 5.047
_cell_length_b 5.047
_cell_length_c 5.047
_cell_angle_alpha 90.00
_cell_angle_beta 90.00
_cell_angle_gamma 90.00
loop_
_atom_site_label
_atom_site_type_symbol
_atom_site_fract_x
_atom_site_fract_y
_atom_site_fract_z
Zr1 Zr 0.000 0.000 0.500
Ti1 Ti 0.500 0.500 0.500
Re1 Re 0.000 0.000 0.000
# Density in g cm⁻³: 6.56

Entry 3:
# PBE-GGA ZrTi2Re, relaxed
data_ZrTi2Re
_chemical_formula_sum 'Zr1 Ti2 Re1'
_symmetry_space_group_name_H-M 'P 4/m m m'
_symmetry_Int_Tables_number 123
_symmetry_space_group_name_Hall '-P 4 2'
_cell_length_a 3.163
_cell_length_b 3.163
_cell_length_c 7.048
_cell_angle_alpha 90.00
_cell_angle_beta 90.00
_cell_angle_gamma 90.00
loop_
_atom_site_label
_atom_site_type_symbol
_atom_site_fract_x
_atom_site_fract_y
_atom_site_fract_z
Zr1 Zr 0.000 0.000 0.000
Ti1 Ti 0.500 0.500 0.291
Re1 Re 0.000 0.000 0.500
# Density in g cm⁻³: 8.79

The following offset from the most stable computed form values (in meV per atom) correspond, in order, to the records above: 17 0 0.